No. 1
First-principles (GGA-PBEsol) data for crystalline La2Ni4GeP3 at its relaxed geometry, as listed in Alexandria via LeMat-Bulk.

extended XYZ file:
```
10
Lattice="3.9991 0.0000 0.0000 0.0000 3.9991 0.0000 0.0000 0.0000 9.5977" Properties=species:S:1:pos:R:3 pbc="T T T"
La 0.0000 0.0000 9.5216
La 1.9995 1.9995 4.8336
Ni 0.0000 1.9995 2.4932
Ni 1.9995 0.0000 7.1596
Ni 1.9995 0.0000 2.4932
Ni 0.0000 1.9995 7.1596
Ge 1.9995 1.9995 1.2367
P 0.0000 0.0000 6.0475
P 0.0000 0.0000 3.5408
P 1.9995 1.9995 8.3011
```

Results
**Calculated formation energy**: -956 kJ/mol of formula units
**Final energy**: -6.754 eV per atom

No. 2
First-principles (GGA-PBEsol) data for crystalline HgAu2Cl at its relaxed geometry, as listed in Alexandria via LeMat-Bulk.

extended XYZ file:
```
4
Lattice="2.9646 0.0000 0.0000 0.0000 4.6954 0.0000 0.0000 0.0000 5.5349" Properties=species:S:1:pos:R:3 pbc="T T T"
Au 0.0000 0.0000 0.0000
Au 1.4823 0.0000 2.7674
Hg 0.0000 2.3477 2.7674
Cl 1.4823 2.3477 0.0000
```

Results
**Energy relative to the elements, uncorrected**: 0.144 eV/atom
**Final energy**: -2.462 eV per atom

Here are the calculated volume numbers, same order: 153.5, 77.0 (Å³/cell).
Here are the calculated total moment numbers, same order: 0.001, 0.000 (μB/f.u.).